MnAuCl4 (GGA-PBE, optimized geometry); excess energy over the best structure of this formula in the dataset = 0 meV/atom; raw formation energy = -0.67 eV/atom; space group = No. 15; calculated volume = 379 Å³/cell; electronic total energy = -23.86 eV/f.u.
1.0
3.604 -8.681 0.000
3.604 8.681 0.000
-0.670 0.000 6.050
Mn Au Cl
2 2 8
Direct
0.055 0.945 0.750
0.945 0.055 0.250
0.349 0.651 0.250
0.651 0.349 0.750
0.035 0.348 0.113
0.138 0.233 0.578
0.233 0.138 0.078
0.348 0.035 0.613
0.652 0.965 0.387
0.767 0.862 0.922
0.862 0.767 0.422
0.965 0.652 0.887



Mn2AuCl (GGA-PBE, optimized geometry); excess energy over the best structure of this formula in the dataset = 139 meV/atom; raw formation energy = 0.05 eV/atom; space group = No. 160; calculated volume = 71 Å³/cell; electronic total energy = -23.25 eV/f.u.
1.0
1.515 0.875 8.919
-1.515 0.875 8.919
0.000 -1.749 8.919
Mn Au Cl
2 1 1
Direct
0.000 0.000 0.000
0.258 0.258 0.258
0.513 0.513 0.513
0.727 0.727 0.727